This record from Alexandria via LeMat-Bulk describes an optimized crystal structure of Ce4CoIr. The functional is PBE.

Lattice parameters (Å, degrees): 10.9359 10.9359 6.5182 90.00 90.00 158.23
Last column: nearest neighbours and their distance in Å.
Fractional positions:
Ce 0.0494 0.9506 0.5000  2 Co 2.70
Ce 0.3075 0.6925 0.5302  2 Ce 2.80-2.87, 3 Ir 2.83-3.11, 1 Co 3.13
Ce 0.3185 0.6815 0.9589  2 Ir 2.75, 1 Ce 2.80, 1 Co 2.97
Ce 0.4336 0.5664 0.3827  1 Co 2.30
Ce 0.5664 0.4336 0.8827  1 Co 2.30
Ce 0.6815 0.3185 0.4589  2 Ir 2.75, 1 Ce 2.80, 1 Co 2.97
Ce 0.6925 0.3075 0.0302  2 Ce 2.80-2.87, 3 Ir 2.83-3.11, 1 Co 3.13
Ce 0.9506 0.0494 0.0000  2 Co 2.70
Co 0.4391 0.5609 0.7357  1 Ce 2.30
Co 0.5609 0.4391 0.2357  1 Ce 2.30
Ir 0.1769 0.8231 0.7370  4 Ce 2.75-2.83
Ir 0.8231 0.1769 0.2370  4 Ce 2.75-2.83

Output
Crystal system = orthorhombic
Space group = Cmc2_1
Electronic total energy = -6.815 eV per atom

***

This record from Alexandria via LeMat-Bulk describes an optimized crystal structure of Ce12Co6Ir. The functional is PBE.

Lattice parameters (Å, degrees): 7.7763 7.7763 7.7763 95.40 95.40 95.40
Last column: nearest neighbours and their distance in Å.
Fractional positions:
Ce 0.0462 0.6567 0.9208  2 Co 2.64-2.87, 1 Ir 2.75, 1 Ce 2.89
Ce 0.0792 0.9538 0.3433  2 Co 2.64-2.87, 1 Ir 2.75, 1 Ce 2.89
Ce 0.1894 0.4023 0.5776  2 Co 2.48-2.66
Ce 0.3433 0.0792 0.9538  2 Co 2.64-2.87, 1 Ir 2.75, 1 Ce 2.89
Ce 0.4023 0.5776 0.1894  2 Co 2.48-2.66
Ce 0.4224 0.8106 0.5977  2 Co 2.48-2.66
Ce 0.5776 0.1894 0.4023  2 Co 2.48-2.66
Ce 0.5977 0.4224 0.8106  2 Co 2.48-2.66
Ce 0.6567 0.9208 0.0462  2 Co 2.64-2.87, 1 Ir 2.75, 1 Ce 2.89
Ce 0.8106 0.5977 0.4224  2 Co 2.48-2.66
Ce 0.9208 0.0462 0.6567  2 Co 2.64-2.87, 1 Ir 2.75, 1 Ce 2.89
Ce 0.9538 0.3433 0.0792  2 Co 2.64-2.87, 1 Ir 2.75, 1 Ce 2.89
Co 0.1283 0.6211 0.3201  3 Ce 2.48-2.66
Co 0.3201 0.1283 0.6211  3 Ce 2.48-2.66
Co 0.3789 0.6799 0.8717  3 Ce 2.48-2.66
Co 0.6211 0.3201 0.1283  3 Ce 2.48-2.66
Co 0.6799 0.8717 0.3789  3 Ce 2.48-2.66
Co 0.8717 0.3789 0.6799  3 Ce 2.48-2.66
Ir 0.0000 0.0000 0.0000  6 Ce 2.75

Output
Crystal system = trigonal
Space group = R-3
Electronic total energy = -6.559 eV per atom